Entry 1:
Entry from Alexandria via LeMat-Bulk: La6Co2IrI3 after structural relaxation (PBE).

a = 7.227 Å, b = 7.227 Å, c = 8.589 Å
α = 98.06°, β = 98.06°, γ = 120.00°
Fractional positions:
1 La 0.099 0.439 0.817
2 La 0.221 0.221 0.182
3 La 0.439 0.099 0.817
4 La 0.561 0.901 0.183
5 La 0.779 0.779 0.818
6 La 0.901 0.561 0.183
7 Co 0.167 0.833 0.000
8 Co 0.833 0.167 0.000
9 Ir 0.500 0.500 0.000
10 I 0.000 0.000 0.500
11 I 0.334 0.666 0.500
12 I 0.666 0.334 0.500

Values from the calculation:
calculated density: 6.8 g/cm3
volume: 31.1 Å³/atom
energy: -5.60 eV per atom
SG: C2/m
formation energy without anion corrections: -823.1 meV/atom

=====

Entry 2:
Entry from Alexandria via LeMat-Bulk: FeSBr3 after structural relaxation (PBE).

a = 5.088 Å, b = 5.088 Å, c = 5.088 Å
α = 90.00°, β = 90.00°, γ = 90.00°
Fractional positions:
1 Fe 0.000 0.000 0.000
2 S 0.500 0.500 0.500
3 Br 0.000 0.000 0.500
4 Br 0.000 0.500 0.000
5 Br 0.500 0.000 0.000

Values from the calculation:
calculated density: 4.1 g/cm3
volume: 26.3 Å³/atom
energy: -3.16 eV per atom
ΔE to the lowest computed polymorph: 0 meV per atom
SG: Pm-3m
formation energy without anion corrections: 360.6 meV/atom

=====

Entry 3:
Entry from Alexandria via LeMat-Bulk: NaLiNiB2 after structural relaxation (PBE).

a = 3.856 Å, b = 3.856 Å, c = 4.029 Å
α = 90.00°, β = 90.00°, γ = 90.00°
Fractional positions:
1 Na 0.000 0.000 0.000
2 Li 0.500 0.500 0.500
3 Ni 0.500 0.500 0.000
4 B 0.000 0.500 0.500
5 B 0.500 0.000 0.500

Values from the calculation:
calculated density: 3.1 g/cm3
volume: 12.0 Å³/atom
energy: -3.07 eV per atom
formation enthalpy at 0 K: 1407 meV per atom
SG: P4/mmm

=====

Entry 4:
Entry from Alexandria via LeMat-Bulk: DyMgSc2In4 after structural relaxation (PBE).

a = 9.009 Å, b = 9.009 Å, c = 9.009 Å
α = 32.75°, β = 32.75°, γ = 32.75°
Fractional positions:
1 Dy 0.000 0.000 0.000
2 Mg 0.500 0.500 0.500
3 Sc 0.246 0.246 0.246
4 Sc 0.754 0.754 0.754
5 In 0.126 0.126 0.126
6 In 0.378 0.378 0.378
7 In 0.622 0.622 0.622
8 In 0.874 0.874 0.874

Values from the calculation:
calculated density: 6.4 g/cm3
volume: 23.8 Å³/atom
energy: -4.06 eV per atom
formation enthalpy at 0 K: -337 meV per atom
SG: R-3m

=====

Entry 5:
Entry from Alexandria via LeMat-Bulk: ZnSb2TeBr after structural relaxation (PBE).

a = 5.360 Å, b = 5.360 Å, c = 5.213 Å
α = 90.00°, β = 90.00°, γ = 90.00°
Fractional positions:
1 Zn 0.000 0.000 0.000
2 Sb 0.000 0.500 0.000
3 Sb 0.500 0.000 0.000
4 Te 0.000 0.000 0.500
5 Br 0.500 0.500 0.500

Values from the calculation:
calculated density: 5.7 g/cm3
volume: 30.0 Å³/atom
energy: -2.44 eV per atom
ΔE to the lowest computed polymorph: 0 meV per atom
SG: P4/mmm
formation energy without anion corrections: 429.7 meV/atom

=====

Entry 6:
Entry from Alexandria via LeMat-Bulk: Y6C2SBr3 after structural relaxation (PBE).

a = 6.597 Å, b = 6.597 Å, c = 7.407 Å
α = 98.54°, β = 98.54°, γ = 120.01°
Fractional positions:
1 Y 0.084 0.440 0.819
2 Y 0.205 0.205 0.181
3 Y 0.440 0.084 0.819
4 Y 0.560 0.916 0.181
5 Y 0.795 0.795 0.819
6 Y 0.916 0.560 0.181
7 C 0.167 0.833 0.000
8 C 0.833 0.167 0.000
9 S 0.500 0.500 0.000
10 Br 0.000 0.000 0.500
11 Br 0.335 0.665 0.500
12 Br 0.665 0.335 0.500

Values from the calculation:
calculated density: 5.2 g/cm3
volume: 22.2 Å³/atom
energy: -6.69 eV per atom
SG: C2/m
formation energy without anion corrections: -1158.2 meV/atom

=====

Entry 7:
Entry from Alexandria via LeMat-Bulk: DyGe2Br8 after structural relaxation (PBE).

a = 8.212 Å, b = 8.212 Å, c = 7.353 Å
α = 101.81°, β = 101.81°, γ = 82.35°
Fractional positions:
1 Dy 0.000 0.000 0.000
2 Ge 0.185 0.185 0.649
3 Ge 0.815 0.815 0.351
4 Br 0.088 0.735 0.203
5 Br 0.207 0.207 0.281
6 Br 0.265 0.912 0.797
7 Br 0.377 0.377 0.834
8 Br 0.623 0.623 0.166
9 Br 0.735 0.088 0.203
10 Br 0.793 0.793 0.719
11 Br 0.912 0.265 0.797

Values from the calculation:
calculated density: 3.3 g/cm3
volume: 43.0 Å³/atom
energy: -3.40 eV per atom
SG: C2/m
formation energy without anion corrections: -930.0 meV/atom

=====

Entry 8:
Entry from Alexandria via LeMat-Bulk: Ho4Ga2Bi after structural relaxation (PBE).

a = 9.397 Å, b = 8.132 Å, c = 8.111 Å
α = 70.70°, β = 54.75°, γ = 54.55°
Fractional positions:
1 Ho 0.127 0.300 0.302
2 Ho 0.229 0.698 0.700
3 Ho 0.300 0.127 0.771
4 Ho 0.302 0.771 0.127
5 Ho 0.698 0.229 0.873
6 Ho 0.700 0.873 0.229
7 Ho 0.771 0.302 0.300
8 Ho 0.873 0.700 0.698
9 Ga 0.000 0.000 0.000
10 Ga 0.000 0.000 0.500
11 Ga 0.000 0.500 0.000
12 Ga 0.500 0.000 0.000
13 Bi 0.375 0.375 0.375
14 Bi 0.625 0.625 0.625

Values from the calculation:
calculated density: 8.1 g/cm3
volume: 29.5 Å³/atom
energy: -4.42 eV per atom
formation enthalpy at 0 K: -382 meV per atom
SG: Fddd

=====

Entry 9:
Entry from Alexandria via LeMat-Bulk: AlCo2PW after structural relaxation (PBE).

a = 4.435 Å, b = 4.435 Å, c = 4.901 Å
α = 90.00°, β = 90.00°, γ = 90.00°
Fractional positions:
1 Al 0.000 0.000 0.000
2 Co 0.000 0.500 0.500
3 Co 0.500 0.000 0.500
4 P 0.500 0.500 0.000
5 W 0.000 0.000 0.500

Values from the calculation:
calculated density: 6.2 g/cm3
volume: 19.3 Å³/atom
energy: -5.69 eV per atom
formation enthalpy at 0 K: 1570 meV per atom
SG: P4/mmm

=====

Entry 10:
Entry from Alexandria via LeMat-Bulk: CSeF3 after structural relaxation (PBE).

a = 4.233 Å, b = 4.233 Å, c = 4.233 Å
α = 90.00°, β = 90.00°, γ = 90.00°
Fractional positions:
1 C 0.000 0.000 0.000
2 Se 0.500 0.500 0.500
3 F 0.000 0.500 0.500
4 F 0.500 0.000 0.500
5 F 0.500 0.500 0.000

Values from the calculation:
calculated density: 3.2 g/cm3
volume: 15.2 Å³/atom
energy: -3.06 eV per atom
SG: Pm-3m
formation energy without anion corrections: 603.1 meV/atom

=====

Entry 11:
Entry from Alexandria via LeMat-Bulk: GdHoPt after structural relaxation (PBE).

a = 4.639 Å, b = 4.639 Å, c = 4.160 Å
α = 90.00°, β = 90.00°, γ = 120.00°
Fractional positions:
1 Gd 0.000 0.000 0.000
2 Ho 0.333 0.667 0.478
3 Pt 0.667 0.333 0.709

Values from the calculation:
calculated density: 11.1 g/cm3
volume: 25.8 Å³/atom
energy: -8.91 eV per atom
ΔE to the lowest computed polymorph: 178 meV per atom
formation enthalpy at 0 K: -672 meV per atom
SG: P3m1

=====

Entry 12:
Entry from Alexandria via LeMat-Bulk: AgBi2AuS after structural relaxation (PBE).

a = 5.599 Å, b = 5.599 Å, c = 4.590 Å
α = 90.00°, β = 90.00°, γ = 90.00°
Fractional positions:
1 Ag 0.000 0.000 0.000
2 Bi 0.000 0.500 0.000
3 Bi 0.500 0.000 0.000
4 Au 0.500 0.500 0.500
5 S 0.000 0.000 0.500

Values from the calculation:
calculated density: 8.7 g/cm3
volume: 28.8 Å³/atom
energy: -2.96 eV per atom
SG: P4/mmm
formation energy without anion corrections: 640.6 meV/atom

=====

Entry 13:
Entry from Alexandria via LeMat-Bulk: Ac12Tb7Y after structural relaxation (PBE).

a = 12.184 Å, b = 12.184 Å, c = 12.184 Å
α = 116.78°, β = 116.78°, γ = 116.78°
Fractional positions:
1 Ac 0.001 0.413 0.588
2 Ac 0.068 0.069 0.413
3 Ac 0.069 0.413 0.068
4 Ac 0.412 0.999 0.587
5 Ac 0.413 0.068 0.069
6 Ac 0.413 0.588 0.001
7 Ac 0.587 0.412 0.999
8 Ac 0.587 0.932 0.931
9 Ac 0.588 0.001 0.413
10 Ac 0.931 0.587 0.932
11 Ac 0.932 0.931 0.587
12 Ac 0.999 0.587 0.412
13 Tb 0.000 0.000 0.000
14 Tb 0.154 0.395 0.394
15 Tb 0.394 0.154 0.395
16 Tb 0.395 0.394 0.154
17 Tb 0.605 0.606 0.846
18 Tb 0.606 0.846 0.605
19 Tb 0.846 0.605 0.606
20 Y 0.500 0.500 0.500

Values from the calculation:
calculated density: 7.9 g/cm3
volume: 41.2 Å³/atom
energy: -4.20 eV per atom
formation enthalpy at 0 K: 210 meV per atom
SG: R-3

=====

Entry 14:
Entry from Alexandria via LeMat-Bulk: La2Nb3S2O8 after structural relaxation (PBE).

a = 9.978 Å, b = 11.993 Å, c = 7.703 Å
α = 90.00°, β = 90.00°, γ = 90.00°
Fractional positions:
1 La 0.206 0.160 0.000
2 La 0.232 0.150 0.500
3 La 0.268 0.650 0.000
4 La 0.294 0.660 0.500
5 La 0.706 0.340 0.500
6 La 0.732 0.350 0.000
7 La 0.768 0.850 0.500
8 La 0.794 0.840 0.000
9 Nb 0.000 0.500 0.289
10 Nb 0.000 0.500 0.711
11 Nb 0.136 0.915 0.250
12 Nb 0.136 0.915 0.750
13 Nb 0.364 0.415 0.250
14 Nb 0.364 0.415 0.750
15 Nb 0.500 0.000 0.211
16 Nb 0.500 0.000 0.789
17 Nb 0.636 0.585 0.250
18 Nb 0.636 0.585 0.750
19 Nb 0.864 0.085 0.250
20 Nb 0.864 0.085 0.750
21 S 0.019 0.346 0.500
22 S 0.020 0.367 0.000
23 S 0.480 0.867 0.500
24 S 0.481 0.846 0.000
25 S 0.519 0.154 0.000
26 S 0.520 0.133 0.500
27 S 0.980 0.633 0.000
28 S 0.981 0.654 0.500
29 O 0.055 0.106 0.256
30 O 0.055 0.106 0.744
31 O 0.134 0.948 0.000
32 O 0.151 0.952 0.500
33 O 0.198 0.527 0.265
34 O 0.198 0.527 0.735
35 O 0.214 0.774 0.250
36 O 0.214 0.774 0.750
37 O 0.286 0.274 0.250
38 O 0.286 0.274 0.750
39 O 0.302 0.027 0.235
40 O 0.302 0.027 0.765
41 O 0.349 0.452 0.000
42 O 0.366 0.448 0.500
43 O 0.445 0.606 0.244
44 O 0.445 0.606 0.756
45 O 0.555 0.394 0.244
46 O 0.555 0.394 0.756
47 O 0.634 0.552 0.500
48 O 0.651 0.548 0.000
49 O 0.698 0.973 0.235
50 O 0.698 0.973 0.765
51 O 0.714 0.726 0.250
52 O 0.714 0.726 0.750
53 O 0.786 0.226 0.250
54 O 0.786 0.226 0.750
55 O 0.802 0.473 0.265
56 O 0.802 0.473 0.735
57 O 0.849 0.048 0.500
58 O 0.866 0.052 0.000
59 O 0.945 0.894 0.256
60 O 0.945 0.894 0.744

Values from the calculation:
calculated density: 5.4 g/cm3
volume: 15.4 Å³/atom
energy: -8.52 eV per atom
SG: Pnnm
formation energy without anion corrections: -2656.1 meV/atom

=====

Entry 15:
Entry from Alexandria via LeMat-Bulk: LiHo2PdO5 after structural relaxation (PBE).

a = 6.463 Å, b = 6.463 Å, c = 5.769 Å
α = 90.00°, β = 90.00°, γ = 90.00°
Fractional positions:
1 Li 0.000 0.000 0.000
2 Li 0.500 0.500 0.000
3 Ho 0.173 0.327 0.500
4 Ho 0.327 0.827 0.500
5 Ho 0.673 0.173 0.500
6 Ho 0.827 0.673 0.500
7 Pd 0.000 0.500 0.000
8 Pd 0.500 0.000 0.000
9 O 0.000 0.000 0.500
10 O 0.141 0.641 0.260
11 O 0.141 0.641 0.740
12 O 0.359 0.141 0.260
13 O 0.359 0.141 0.740
14 O 0.500 0.500 0.500
15 O 0.641 0.859 0.260
16 O 0.641 0.859 0.740
17 O 0.859 0.359 0.260
18 O 0.859 0.359 0.740

Values from the calculation:
calculated density: 7.2 g/cm3
volume: 13.4 Å³/atom
energy: -6.79 eV per atom
SG: P4/mbm
formation energy without anion corrections: -2231.6 meV/atom

=====

Entry 16:
Entry from Alexandria via LeMat-Bulk: AcRe2C2 after structural relaxation (PBE).

a = 6.796 Å, b = 5.986 Å, c = 5.729 Å
α = 70.87°, β = 56.33°, γ = 52.79°
Fractional positions:
1 Ac 0.125 0.125 0.125
2 Ac 0.875 0.875 0.875
3 Re 0.237 0.237 0.513
4 Re 0.487 0.487 0.763
5 Re 0.513 0.513 0.237
6 Re 0.763 0.763 0.487
7 C 0.195 0.555 0.195
8 C 0.445 0.805 0.445
9 C 0.555 0.195 0.555
10 C 0.805 0.445 0.805

Values from the calculation:
calculated density: 13.4 g/cm3
volume: 15.4 Å³/atom
energy: -9.36 eV per atom
formation enthalpy at 0 K: 127 meV per atom
SG: Fddd

=====

Entry 17:
Entry from Alexandria via LeMat-Bulk: Ba2LiSi after structural relaxation (PBE).

a = 4.654 Å, b = 4.654 Å, c = 29.900 Å
α = 90.00°, β = 90.00°, γ = 120.00°
Fractional positions:
1 Ba 0.000 0.000 0.230
2 Ba 0.000 0.000 0.770
3 Ba 0.333 0.667 0.437
4 Ba 0.333 0.667 0.896
5 Ba 0.667 0.333 0.104
6 Ba 0.667 0.333 0.563
7 Li 0.000 0.000 0.000
8 Li 0.333 0.667 0.667
9 Li 0.667 0.333 0.333
10 Si 0.000 0.000 0.500
11 Si 0.333 0.667 0.167
12 Si 0.667 0.333 0.833

Values from the calculation:
calculated density: 2.8 g/cm3
volume: 46.7 Å³/atom
energy: -2.73 eV per atom
SG: R-3m
formation energy without anion corrections: 61.1 meV/atom

=====

Entry 18:
Entry from Alexandria via LeMat-Bulk: CuH3Pd5 after structural relaxation (PBE).

a = 5.593 Å, b = 5.593 Å, c = 7.263 Å
α = 110.50°, β = 110.50°, γ = 74.34°
Fractional positions:
1 Cu 0.098 0.098 0.308
2 Cu 0.902 0.902 0.692
3 H 0.000 0.000 0.000
4 H 0.000 0.000 0.500
5 H 0.327 0.327 0.829
6 H 0.353 0.353 0.333
7 H 0.647 0.647 0.667
8 H 0.673 0.673 0.171
9 Pd 0.044 0.627 0.337
10 Pd 0.237 0.237 0.028
11 Pd 0.282 0.718 0.000
12 Pd 0.373 0.956 0.663
13 Pd 0.426 0.426 0.639
14 Pd 0.574 0.574 0.361
15 Pd 0.627 0.044 0.337
16 Pd 0.718 0.282 0.000
17 Pd 0.763 0.763 0.972
18 Pd 0.956 0.373 0.663

Values from the calculation:
calculated density: 10.1 g/cm3
volume: 10.9 Å³/atom
energy: -4.52 eV per atom
SG: C2/m

=====

Entry 19:
Entry from Alexandria via LeMat-Bulk: Zn2PW after structural relaxation (PBE).

a = 4.702 Å, b = 4.702 Å, c = 2.761 Å
α = 90.00°, β = 90.00°, γ = 90.00°
Fractional positions:
1 Zn 0.000 0.500 0.000
2 Zn 0.500 0.000 0.000
3 P 0.000 0.000 0.500
4 W 0.500 0.500 0.500

Values from the calculation:
calculated density: 9.4 g/cm3
volume: 15.3 Å³/atom
energy: -4.68 eV per atom
formation enthalpy at 0 K: 543 meV per atom
SG: P4/mmm

=====

Entry 20:
Entry from Alexandria via LeMat-Bulk: Pa3Ga2Co6 after structural relaxation (PBE).

a = 7.600 Å, b = 7.600 Å, c = 7.600 Å
α = 109.47°, β = 109.47°, γ = 109.47°
Fractional positions:
1 Pa 0.000 0.288 0.288
2 Pa 0.000 0.712 0.712
3 Pa 0.288 0.000 0.288
4 Pa 0.288 0.288 0.000
5 Pa 0.712 0.000 0.712
6 Pa 0.712 0.712 0.000
7 Ga 0.000 0.000 0.500
8 Ga 0.000 0.500 0.000
9 Ga 0.500 0.000 0.000
10 Ga 0.500 0.500 0.500
11 Co 0.000 0.351 0.649
12 Co 0.000 0.649 0.351
13 Co 0.297 0.649 0.649
14 Co 0.351 0.000 0.649
15 Co 0.351 0.351 0.703
16 Co 0.351 0.649 0.000
17 Co 0.351 0.703 0.351
18 Co 0.649 0.000 0.351
19 Co 0.649 0.297 0.649
20 Co 0.649 0.351 0.000
21 Co 0.649 0.649 0.297
22 Co 0.703 0.351 0.351

Values from the calculation:
calculated density: 11.7 g/cm3
volume: 15.4 Å³/atom
energy: -7.47 eV per atom
formation enthalpy at 0 K: -458 meV per atom
SG: Im-3m